# 1
Material: SrPbSeN2
Method: DFT, GGA-PBE
State: relaxed

Values from the calculation:
excess energy over the best structure of this formula in the dataset: 0.0000 eV/atom
E_tot: -4.50 eV per atom
formation energy (no corrections): 608 meV/atom
crystal system: tetragonal

Cell lengths 4.574, 4.574, 5.684 Å; angles 90.00, 90.00, 90.00 degrees
Last column: magnetic moment on the atom in μB.
Element x y z (fractional)
1 Sr 0.500 0.500 0.500  -0.01
2 Se 0.000 0.000 0.500  0.10
3 Pb 0.000 0.000 0.000  -0.04
4 N 0.500 0.000 0.000  0.76
5 N 0.000 0.500 0.000  0.76

***

# 2
Material: Sc6VSn10
Method: DFT, GGA-PBE
State: relaxed

Values from the calculation:
formation energy from the elements: -8.1 kcal/mol of atoms
E_tot: -5.48 eV per atom
crystal system: trigonal

Cell lengths 5.984, 8.742, 8.742 Å; angles 120.00, 90.00, 90.00 degrees
Element x y z (fractional)
1 Sn 0.500 0.333 0.667
2 Sn 0.779 0.000 0.242
3 Sn 0.779 0.758 0.758
4 Sn 0.000 0.667 0.333
5 Sn 0.779 0.242 0.000
6 Sn 0.221 0.242 0.242
7 Sn 0.000 0.333 0.667
8 Sn 0.221 0.000 0.758
9 Sn 0.500 0.667 0.333
10 Sn 0.221 0.758 0.000
11 V 0.500 0.000 0.000
12 Sc 0.745 0.000 0.605
13 Sc 0.255 0.395 0.000
14 Sc 0.255 0.000 0.395
15 Sc 0.745 0.605 0.000
16 Sc 0.745 0.395 0.395
17 Sc 0.255 0.605 0.605

***

# 3
Material: NaGaSn3
Method: DFT, GGA-PBE
State: relaxed

Values from the calculation:
formation energy from the elements: -0.1 kcal/mol of atoms
excess energy over the best structure of this formula in the dataset: 0.0000 eV/atom
E_tot: -3.27 eV per atom
crystal system: monoclinic

Cell lengths 4.431, 7.650, 9.426 Å; angles 90.00, 90.00, 107.43 degrees
Element x y z (fractional)
1 Sn 0.643 0.192 0.993
2 Sn 0.643 0.192 0.507
3 Sn 0.357 0.808 0.007
4 Sn 0.357 0.808 0.493
5 Sn 0.310 0.596 0.750
6 Sn 0.690 0.404 0.250
7 Na 0.009 0.999 0.750
8 Na 0.991 0.001 0.250
9 Ga 0.297 0.614 0.250
10 Ga 0.703 0.386 0.750

***

# 4
Material: YSb3Pd
Method: DFT, GGA-PBE
State: relaxed

Values from the calculation:
excess energy over the best structure of this formula in the dataset: 0.0000 eV/atom
E_tot: -4.87 eV per atom
formation energy (no corrections): -63 meV/atom
crystal system: cubic

Cell lengths 5.237, 5.237, 5.237 Å; angles 90.00, 90.00, 90.00 degrees
Element x y z (fractional)
1 Sb 0.000 0.000 0.500
2 Sb 0.000 0.500 0.000
3 Sb 0.500 0.000 0.000
4 Pd 0.000 0.000 0.000
5 Y 0.500 0.500 0.500

***

# 5
Material: LaCdOs2
Method: DFT, GGA-PBE
State: relaxed

Values from the calculation:
formation energy from the elements: 16.2 kcal/mol of atoms
E_tot: -6.37 eV per atom
crystal system: tetragonal

Cell lengths 5.156, 5.156, 5.156 Å; angles 130.05, 130.05, 73.33 degrees
Last column: magnetic moment on the atom in μB.
Element x y z (fractional)
1 Os 0.000 0.000 0.000  0.19
2 Os 0.500 0.500 0.000  0.19
3 Cd 0.250 0.750 0.500  0.00
4 La 0.750 0.250 0.500  0.00

***

# 6
Material: NiRuAu2
Method: DFT, GGA-PBE
State: relaxed

Values from the calculation:
formation energy from the elements: 4.5 kcal/mol of atoms
excess energy over the best structure of this formula in the dataset: 0.0000 eV/atom
E_tot: -5.21 eV per atom
crystal system: tetragonal

Cell lengths 2.788, 2.788, 7.878 Å; angles 90.00, 90.00, 89.99 degrees
Last column: magnetic moment on the atom in μB.
Element x y z (fractional)
1 Ni 0.000 0.000 0.519  0.16
2 Ru 0.500 0.500 0.718  0.28
3 Au 0.000 0.000 0.986  0.00
4 Au 0.500 0.500 0.277  0.00

***

# 7
Material: MnMoCl
Method: DFT, GGA-PBE
State: relaxed

Values from the calculation:
excess energy over the best structure of this formula in the dataset: 0.1208 eV/atom
E_tot: -6.94 eV per atom
formation energy (no corrections): 346 meV/atom
crystal system: tetragonal

Cell lengths 6.354, 6.354, 6.354 Å; angles 153.19, 153.19, 38.27 degrees
Last column: magnetic moment on the atom in μB.
Element x y z (fractional)
1 Mn 0.303 0.303 0.000  3.25
2 Cl 0.026 0.026 0.000  -0.01
3 Mo 0.670 0.670 0.000  -0.67